Density functional theory data (GGA-PBE) for Cs4Cl3F after structural relaxation.

Unit cell a=8.2970 b=8.4215 c=9.7208 alpha=90.00 beta=90.00 gamma=109.47
Each line ends with the local moment (μB).
Positions (direct):
1 Cs 0.9852 0.2420 0.6412  0.00
2 Cs 0.5074 0.2189 0.8904  0.00
3 Cs 0.4852 0.2420 0.3588  0.00
4 Cs 0.0074 0.2189 0.1096  0.00
5 Cs 0.9926 0.7811 0.8904  0.00
6 Cs 0.5148 0.7580 0.6412  0.00
7 Cs 0.4926 0.7811 0.1096  0.00
8 Cs 0.0148 0.7580 0.3588  0.00
9 F 0.7500 0.0000 0.8879  0.05
10 F 0.2500 0.0000 0.1121  0.05
11 Cl 0.7500 0.0000 0.3739  0.03
12 Cl 0.2500 0.0000 0.6261  0.03
13 Cl 0.7500 0.5000 0.6269  0.09
14 Cl 0.7500 0.5000 0.1219  0.05
15 Cl 0.2500 0.5000 0.3731  0.09
16 Cl 0.2500 0.5000 0.8781  0.05

Summary:
Magnetization = 0.3 μB per formula unit
Formation energy from raw total energies = -2.11 eV per atom
Uncorrected energy = -0.255 Ry per atom